The following is a DFT calculation (PBE) of Ba2LiAu after structural relaxation.

Values from the calculation:
The density of states at the Fermi level comes out at 3.6 states/eV/f.u. Its total magnetization is 0.00 Bohr magnetons per cell. Its energy above the most stable polymorph in this dataset is 205 meV per atom. The value obtained for the total energy is -0.18114 Ry per atom.

abc: 4.9501 8.4352 6.9146
angles: 35.22 90.00 90.00
Fractional positions:
Li 0.5000 0.5000 0.5000
Au 0.0000 0.0000 0.5000
Ba 0.0000 0.0000 0.0000
Ba 0.5000 0.5000 0.0000

The following is a DFT calculation (PBE) of Pu4Fe2Ge5 after structural relaxation.

Values from the calculation:
The density of states at the Fermi level comes out at 20.0 states/eV/f.u. Its total magnetization is 17.19 Bohr magnetons per cell. The value obtained for the total energy is -0.67002 Ry per atom.

abc: 3.2159 7.1757 9.2622
angles: 94.64 90.00 90.00
Site moments in Bohr magnetons follow the coordinates.
Fractional positions:
Ge 0.0000 0.1926 0.1646  -0.04
Ge 0.0000 0.5609 0.3010  -0.04
Fe 0.0000 0.9370 0.3579  -2.05
Pu 0.5000 0.2521 0.4471  5.14
Fe 0.0000 0.0630 0.6421  -2.05
Pu 0.5000 0.1667 0.8722  5.15
Ge 0.0000 0.4391 0.6990  -0.04
Ge 0.0000 0.8074 0.8354  -0.04
Pu 0.5000 0.8333 0.1278  5.15
Ge 0.0000 0.5000 0.0000  -0.03
Pu 0.5000 0.7479 0.5529  5.14